# 1
Computed, not measured: a relaxed structure of NdTmSn2 at the GGA-PBE level of DFT.

Cell: 3.491 3.491 8.908 Å, 90.00 90.00 90.00°
Element x y z (fractional)
Nd: 0.500 0.500 0.500
Tm: 0.500 0.500 0.000
Sn: 0.000 0.000 0.761
Sn: 0.000 0.000 0.239

Summary:
formation enthalpy at 0 K = -0.624 eV/atom


# 2
Computed, not measured: a relaxed structure of Nd6Sn2Te3I at the GGA-PBE level of DFT.

Cell: 4.518 9.111 10.120 Å, 102.28 102.90 90.00°
Element x y z (fractional)
Nd: 0.007 0.274 0.015
Nd: 0.993 0.726 0.985
Nd: 0.325 0.898 0.650
Nd: 0.669 0.580 0.337
Nd: 0.331 0.420 0.663
Nd: 0.675 0.102 0.350
Te: 0.500 0.500 0.000
Te: 0.161 0.837 0.321
Te: 0.839 0.163 0.679
Sn: 0.833 0.666 0.665
Sn: 0.167 0.334 0.335
I: 0.500 0.000 0.000

Summary:
formation energy without anion corrections = -1334 kJ/mol of formula units


# 3
Computed, not measured: a relaxed structure of CdTe2Mo at the GGA-PBE level of DFT.

Cell: 5.663 5.663 7.261 Å, 66.20 66.20 35.24°
Element x y z (fractional)
Te: 0.928 0.928 0.099
Te: 0.771 0.771 0.652
Mo: 0.259 0.259 0.376
Cd: 0.542 0.542 0.373

Summary:
formation energy without anion corrections = 43 kJ/mol of formula units


# 4
Computed, not measured: a relaxed structure of Li3GaHg3 at the GGA-PBE level of DFT.

Cell: 6.534 6.534 6.375 Å, 90.01 90.01 89.26°
Element x y z (fractional)
Ga: 0.280 0.280 0.000
Ga: 0.720 0.720 0.000
Li: 0.000 0.000 0.772
Li: 0.500 0.000 0.238
Li: 0.000 0.500 0.238
Li: 0.000 0.000 0.228
Li: 0.500 0.000 0.762
Li: 0.000 0.500 0.762
Hg: 0.264 0.736 0.500
Hg: 0.715 0.285 0.000
Hg: 0.736 0.264 0.500
Hg: 0.744 0.744 0.500
Hg: 0.256 0.256 0.500
Hg: 0.285 0.715 0.000

Summary:
energy relative to the lowest polymorph listed for this composition = 0.000 eV/atom
formation enthalpy at 0 K = -0.263 eV/atom


Magnetic moment / μB/f.u.: 0.00, 0.00, 0.00, 0.00